(1)
The following is a DFT calculation (PBE) of crystalline VAs2Pd at its relaxed geometry.

abc: 4.3661 4.3661 3.2427
angles: 90.00 90.00 90.00
Space group P4/mmm (No. 123)
Symmetry-distinct sites (fractional):
V: 0.0000 0.0000 0.0000 x1
As: 0.0000 0.5000 0.5000 x2
Pd: 0.5000 0.5000 0.0000 x1

Results
**ΔH_f (0 K)**: -0.19 eV per atom

=====

(2)
The following is a DFT calculation (PBE) of crystalline LiSmBr4 at its relaxed geometry.

abc: 7.0220 4.1980 7.0914
angles: 90.00 95.18 90.00
Space group P2/m (No. 10)
Symmetry-distinct sites (fractional):
Li: 0.0000 0.0000 0.0000 x1
Sm: 0.0000 0.5000 0.5000 x1
Br: 0.2098 0.5000 0.1783 x2
Br: 0.2350 0.0000 0.6824 x2

Results
**ΔE_f (raw)**: -10.4 eV per formula unit

=====

(3)
The following is a DFT calculation (PBE) of crystalline V7Cr2Ge2 at its relaxed geometry.

abc: 2.8906 12.9232 8.1836
angles: 90.00 90.00 90.00
Space group Imm2 (No. 44)
Symmetry-distinct sites (fractional):
V: 0.0000 0.0000 0.0000 x2
V: 0.0000 0.1540 0.5619 x4
V: 0.0000 0.3282 0.3326 x4
V: 0.0000 0.3392 0.7919 x4
Cr: 0.0000 0.1869 0.0564 x4
Ge: 0.0000 0.0000 0.3384 x2
Ge: 0.0000 0.5000 0.1911 x2

Results
**ΔH_f (0 K)**: 0.02 eV per atom

=====

Which formula does entry 1 have? VAs2Pd

=====

What did the second record say?
The following is a DFT calculation (PBE) of crystalline LiSmBr4 at its relaxed geometry.

abc: 7.0220 4.1980 7.0914
angles: 90.00 95.18 90.00
Space group P2/m (No. 10)
Symmetry-distinct sites (fractional):
Li: 0.0000 0.0000 0.0000 x1
Sm: 0.0000 0.5000 0.5000 x1
Br: 0.2098 0.5000 0.1783 x2
Br: 0.2350 0.0000 0.6824 x2

Results
**ΔE_f (raw)**: -10.4 eV per formula unit